(1)
First-principles (PBE) data for a relaxed MgAg2Os crystal, as listed in the Alexandria database.

Computed properties:
Raw total energy, eV/atom: -4.2905
Formation energy from the elements, kJ/mol of formula units: 132
Fermi-level density of states, states/eV/f.u.: 1.8

Structure (CIF):
```
data_MgAg2Os
_symmetry_space_group_name_H-M 'P 1'
_symmetry_Int_Tables_number 1
_symmetry_space_group_name_Hall 'P 1'
_cell_length_a 9.702
_cell_length_b 9.702
_cell_length_c 9.702
_cell_angle_alpha 16.78
_cell_angle_beta 16.78
_cell_angle_gamma 16.78
loop_
_atom_site_label
_atom_site_type_symbol
_atom_site_fract_x
_atom_site_fract_y
_atom_site_fract_z
Ag1 Ag 0.500 0.500 0.500
Ag2 Ag 0.000 0.000 0.000
Mg1 Mg 0.250 0.250 0.250
Os1 Os 0.750 0.750 0.750
```

(2)
First-principles (PBE) data for a relaxed La3PmNd3 crystal, as listed in the Alexandria database.

Computed properties:
Raw total energy, eV/atom: -4.6256
Formation energy from the elements, kJ/mol of formula units: 141
Fermi-level density of states, states/eV/f.u.: 11.3

Structure (CIF):
```
data_La3PmNd3
_symmetry_space_group_name_H-M 'P 1'
_symmetry_Int_Tables_number 1
_symmetry_space_group_name_Hall 'P 1'
_cell_length_a 8.914
_cell_length_b 8.914
_cell_length_c 8.914
_cell_angle_alpha 60.86
_cell_angle_beta 60.86
_cell_angle_gamma 60.86
loop_
_atom_site_label
_atom_site_type_symbol
_atom_site_fract_x
_atom_site_fract_y
_atom_site_fract_z
Pm1 Pm 0.358 0.358 0.358
Pm2 Pm 0.642 0.642 0.642
La1 La 0.300 0.806 0.061
La2 La 0.939 0.700 0.194
La3 La 0.700 0.194 0.939
La4 La 0.194 0.939 0.700
La5 La 0.061 0.300 0.806
La6 La 0.806 0.061 0.300
Nd1 Nd 0.730 0.567 0.059
Nd2 Nd 0.270 0.433 0.941
Nd3 Nd 0.567 0.059 0.730
Nd4 Nd 0.059 0.730 0.567
Nd5 Nd 0.433 0.941 0.270
Nd6 Nd 0.941 0.270 0.433
```

(3)
First-principles (PBE) data for a relaxed ScAl3Fe crystal, as listed in the Alexandria database.

Computed properties:
Raw total energy, eV/atom: -5.5333
Formation energy from the elements, kJ/mol of formula units: -159
Fermi-level density of states, states/eV/f.u.: 3.0

Structure (CIF):
```
data_ScAl3Fe
_symmetry_space_group_name_H-M 'P 1'
_symmetry_Int_Tables_number 1
_symmetry_space_group_name_Hall 'P 1'
_cell_length_a 5.143
_cell_length_b 5.425
_cell_length_c 6.550
_cell_angle_alpha 114.46
_cell_angle_beta 90.00
_cell_angle_gamma 90.00
loop_
_atom_site_label
_atom_site_type_symbol
_atom_site_fract_x
_atom_site_fract_y
_atom_site_fract_z
Fe1 Fe 0.500 0.000 0.000
Fe2 Fe 0.000 0.000 0.000
Sc1 Sc 0.750 0.584 0.169
Sc2 Sc 0.250 0.416 0.831
Al1 Al 0.250 0.383 0.273
Al2 Al 0.750 0.173 0.346
Al3 Al 0.750 0.617 0.727
Al4 Al 0.750 0.110 0.727
Al5 Al 0.250 0.827 0.654
Al6 Al 0.250 0.890 0.273
```

(4)
First-principles (PBE) data for a relaxed LaPm5Bi6 crystal, as listed in the Alexandria database.

Computed properties:
Raw total energy, eV/atom: -5.2898
Formation energy from the elements, kJ/mol of formula units: -1111
Fermi-level density of states, states/eV/f.u.: 1.9

Structure (CIF):
```
data_LaPm5Bi6
_symmetry_space_group_name_H-M 'P 1'
_symmetry_Int_Tables_number 1
_symmetry_space_group_name_Hall 'P 1'
_cell_length_a 7.971
_cell_length_b 7.971
_cell_length_c 7.971
_cell_angle_alpha 60.00
_cell_angle_beta 80.39
_cell_angle_gamma 70.50
loop_
_atom_site_label
_atom_site_type_symbol
_atom_site_fract_x
_atom_site_fract_y
_atom_site_fract_z
Bi1 Bi 0.251 0.253 0.000
Bi2 Bi 0.747 0.084 0.336
Bi3 Bi 0.253 0.579 0.336
Bi4 Bi 0.253 0.916 0.664
Bi5 Bi 0.747 0.421 0.664
Bi6 Bi 0.749 0.747 0.000
Pm1 Pm 0.000 0.333 0.334
Pm2 Pm 0.500 0.165 0.669
Pm3 Pm 0.000 0.667 0.666
Pm4 Pm 0.500 0.835 0.331
Pm5 Pm 0.500 0.500 0.000
La1 La 0.000 0.000 0.000
```

(5)
First-principles (PBE) data for a relaxed NaTlSn2Br6 crystal, as listed in the Alexandria database.

Computed properties:
Raw total energy, eV/atom: -3.1125
Fermi-level density of states, states/eV/f.u.: 0.0
Formation energy from raw total energies, eV per atom: -0.940

Structure (CIF):
```
data_NaTlSn2Br6
_symmetry_space_group_name_H-M 'P 1'
_symmetry_Int_Tables_number 1
_symmetry_space_group_name_Hall 'P 1'
_cell_length_a 8.065
_cell_length_b 7.945
_cell_length_c 8.411
_cell_angle_alpha 59.56
_cell_angle_beta 60.29
_cell_angle_gamma 57.04
loop_
_atom_site_label
_atom_site_type_symbol
_atom_site_fract_x
_atom_site_fract_y
_atom_site_fract_z
Br1 Br 0.923 0.628 0.231
Br2 Br 0.182 0.373 0.731
Br3 Br 0.372 0.727 0.730
Br4 Br 0.616 0.238 0.225
Br5 Br 0.739 0.131 0.764
Br6 Br 0.229 0.909 0.253
Sn1 Sn 0.990 0.006 0.982
Sn2 Sn 0.496 0.530 0.464
Tl1 Tl 0.795 0.809 0.588
Na1 Na 0.322 0.310 0.049
```

(6)
First-principles (PBE) data for a relaxed Zn3CdGa6 crystal, as listed in the Alexandria database.

Computed properties:
Raw total energy, eV/atom: -2.2258
Formation energy from the elements, kJ/mol of formula units: 62
Fermi-level density of states, states/eV/f.u.: 2.7

Structure (CIF):
```
data_Zn3CdGa6
_symmetry_space_group_name_H-M 'P 1'
_symmetry_Int_Tables_number 1
_symmetry_space_group_name_Hall 'P 1'
_cell_length_a 6.082
_cell_length_b 8.887
_cell_length_c 8.887
_cell_angle_alpha 128.07
_cell_angle_beta 90.00
_cell_angle_gamma 90.00
loop_
_atom_site_label
_atom_site_type_symbol
_atom_site_fract_x
_atom_site_fract_y
_atom_site_fract_z
Ga1 Ga 0.215 0.466 0.880
Ga2 Ga 0.692 0.329 0.263
Ga3 Ga 0.393 0.032 0.968
Ga4 Ga 0.715 0.880 0.466
Ga5 Ga 0.618 0.251 0.749
Ga6 Ga 0.692 0.737 0.671
Ga7 Ga 0.192 0.263 0.329
Ga8 Ga 0.893 0.968 0.032
Ga9 Ga 0.192 0.671 0.737
Ga10 Ga 0.118 0.749 0.251
Ga11 Ga 0.715 0.534 0.120
Ga12 Ga 0.215 0.120 0.534
Zn1 Zn 0.826 0.134 0.406
Zn2 Zn 0.326 0.406 0.134
Zn3 Zn 0.023 0.588 0.412
Zn4 Zn 0.523 0.412 0.588
Zn5 Zn 0.326 0.866 0.594
Zn6 Zn 0.826 0.594 0.866
Cd1 Cd 0.987 0.141 0.859
Cd2 Cd 0.487 0.859 0.141
```

Repeat the fourth record exactly.
First-principles (PBE) data for a relaxed LaPm5Bi6 crystal, as listed in the Alexandria database.

Computed properties:
Raw total energy, eV/atom: -5.2898
Formation energy from the elements, kJ/mol of formula units: -1111
Fermi-level density of states, states/eV/f.u.: 1.9

Structure (CIF):
```
data_LaPm5Bi6
_symmetry_space_group_name_H-M 'P 1'
_symmetry_Int_Tables_number 1
_symmetry_space_group_name_Hall 'P 1'
_cell_length_a 7.971
_cell_length_b 7.971
_cell_length_c 7.971
_cell_angle_alpha 60.00
_cell_angle_beta 80.39
_cell_angle_gamma 70.50
loop_
_atom_site_label
_atom_site_type_symbol
_atom_site_fract_x
_atom_site_fract_y
_atom_site_fract_z
Bi1 Bi 0.251 0.253 0.000
Bi2 Bi 0.747 0.084 0.336
Bi3 Bi 0.253 0.579 0.336
Bi4 Bi 0.253 0.916 0.664
Bi5 Bi 0.747 0.421 0.664
Bi6 Bi 0.749 0.747 0.000
Pm1 Pm 0.000 0.333 0.334
Pm2 Pm 0.500 0.165 0.669
Pm3 Pm 0.000 0.667 0.666
Pm4 Pm 0.500 0.835 0.331
Pm5 Pm 0.500 0.500 0.000
La1 La 0.000 0.000 0.000
```